Record 1
This record from Alexandria describes a relaxed K2Ce2AgS6 crystal. The functional is GGA-PBE.

a b c (Å): 7.066 7.066 7.812
angles (deg): 97.37 97.37 121.93
Sites, in units of the cell vectors:
K1 0.843 0.157 0.000
K2 0.157 0.843 0.000
Ce1 0.334 0.666 0.500
Ce2 0.666 0.334 0.500
Ag1 0.000 0.000 0.500
S1 0.746 0.746 0.682
S2 0.060 0.418 0.702
S3 0.254 0.254 0.318
S4 0.418 0.060 0.702
S5 0.940 0.582 0.298
S6 0.582 0.940 0.298

Values from the calculation:
**V**: 319 Å³ per cell
**DOS at the Fermi energy**: 6.3 states/eV/cell
**ρ**: 3.426 g/cm³
**Raw formation energy**: -1.2929 eV/atom
**Crystal system**: monoclinic
**Final energy**: -5.082 eV/atom

---

Record 2
This record from Alexandria describes a relaxed K2CeAgS4 crystal. The functional is GGA-PBE.

a b c (Å): 8.133 8.133 8.420
angles (deg): 117.06 117.06 89.40
Sites, in units of the cell vectors:
K1 0.500 0.000 0.000
K2 0.500 0.000 0.500
K3 0.000 0.000 0.500
K4 0.500 0.500 0.000
Ce1 0.000 0.500 0.000
Ce2 0.000 0.500 0.500
Ag1 0.500 0.500 0.500
Ag2 0.000 0.000 0.000
S1 0.186 0.730 0.939
S2 0.770 0.314 0.561
S3 0.230 0.686 0.439
S4 0.814 0.270 0.061
S5 0.808 0.772 0.024
S6 0.728 0.692 0.476
S7 0.272 0.308 0.524
S8 0.192 0.228 0.976

Values from the calculation:
**V**: 428 Å³ per cell
**DOS at the Fermi energy**: 10.3 states/eV/cell
**ρ**: 3.527 g/cm³
**Raw formation energy**: -1.0830 eV/atom
**Crystal system**: monoclinic
**Final energy**: -4.519 eV/atom

---

Record 3
This record from Alexandria describes a relaxed KCe2AgS5 crystal. The functional is GGA-PBE.

a b c (Å): 7.750 7.750 9.116
angles (deg): 115.16 115.16 90.00
Sites, in units of the cell vectors:
K1 0.250 0.250 0.500
K2 0.750 0.750 0.500
Ce1 0.165 0.335 0.000
Ce2 0.665 0.165 0.000
Ce3 0.335 0.835 0.000
Ce4 0.835 0.665 0.000
Ag1 0.250 0.750 0.500
Ag2 0.750 0.250 0.500
S1 0.971 0.471 0.235
S2 0.736 0.236 0.765
S3 0.029 0.529 0.765
S4 0.236 0.029 0.765
S5 0.529 0.736 0.765
S6 0.764 0.971 0.235
S7 0.471 0.264 0.235
S8 0.264 0.764 0.235
S9 0.500 0.500 0.000
S10 0.000 0.000 0.000

Values from the calculation:
**V**: 438 Å³ per cell
**ρ**: 4.459 g/cm³
**Raw formation energy**: -1.4101 eV/atom
**Crystal system**: tetragonal
**Final energy**: -5.461 eV/atom

---

Record 4
This record from Alexandria describes a relaxed KCe2AgS4 crystal. The functional is GGA-PBE.

a b c (Å): 4.168 7.221 14.406
angles (deg): 90.00 90.00 106.78
Sites, in units of the cell vectors:
K1 0.114 0.228 0.750
K2 0.886 0.772 0.250
Ce1 0.370 0.740 0.563
Ce2 0.630 0.260 0.063
Ce3 0.630 0.260 0.437
Ce4 0.370 0.740 0.937
Ag1 0.838 0.676 0.750
Ag2 0.162 0.324 0.250
S1 0.264 0.527 0.104
S2 0.736 0.473 0.604
S3 0.736 0.473 0.896
S4 0.264 0.527 0.396
S5 0.000 0.000 0.500
S6 0.000 0.000 0.000
S7 0.442 0.883 0.750
S8 0.558 0.117 0.250

Values from the calculation:
**V**: 415 Å³ per cell
**DOS at the Fermi energy**: 25.0 states/eV/cell
**ρ**: 4.443 g/cm³
**Raw formation energy**: -1.5409 eV/atom
**Crystal system**: orthorhombic
**Final energy**: -5.582 eV/atom